# 1
Entry from the Alexandria database: a geometry-optimized Sr2MnH12Rh3 structure (GGA-PBE).

Structure (CIF):
```
data_Sr2MnH12Rh3
_space_group_name_H-M_alt 'R -3 m'
_space_group_IT_number 166
_space_group_name_Hall '-R 3 2"'
_cell_length_a 6.4262
_cell_length_b 6.4262
_cell_length_c 14.2487
_cell_angle_alpha 90.00
_cell_angle_beta 90.00
_cell_angle_gamma 120.00
loop_
_atom_site_label
_atom_site_type_symbol
_atom_site_fract_x
_atom_site_fract_y
_atom_site_fract_z
Sr1 Sr 0.0000 0.0000 0.1266
Mn1 Mn 0.0000 0.0000 0.5000
H1 H 0.0359 0.5179 0.1178
H2 H 0.0535 0.5267 0.3542
Rh1 Rh 0.0000 0.5000 0.0000
```

# 2
Entry from the Alexandria database: a geometry-optimized ZrTcH2Os structure (GGA-PBE).

Structure (CIF):
```
data_ZrTcH2Os
_space_group_name_H-M_alt 'P 4/m m m'
_space_group_IT_number 123
_space_group_name_Hall '-P 4 2'
_cell_length_a 3.6528
_cell_length_b 3.6528
_cell_length_c 5.2239
_cell_angle_alpha 90.00
_cell_angle_beta 90.00
_cell_angle_gamma 90.00
loop_
_atom_site_label
_atom_site_type_symbol
_atom_site_fract_x
_atom_site_fract_y
_atom_site_fract_z
Zr1 Zr 0.0000 0.0000 0.0000
Tc1 Tc 0.5000 0.5000 0.0000
H1 H 0.0000 0.5000 0.5000
Os1 Os 0.0000 0.0000 0.5000
```

Values of final energy, in order: -4.463; -6.371, all in eV/atom.